The following is a DFT calculation (PBE-GGA) of a relaxed structure of BaZrTlIn2.

a b c (Å): 5.6417 5.6417 5.6624
angles (deg): 90.00 90.00 90.00
Space group P4/mmm (No. 123)
Inequivalent atoms, fractional coordinates:
Ba1 0.0000 0.0000 0.0000 x1
Zr1 0.5000 0.5000 0.5000 x1
Tl1 0.5000 0.5000 0.0000 x1
In1 0.0000 0.5000 0.5000 x2

Properties
Final energy = -3.7023 eV/atom
ΔH_f (0 K) = -0.039 eV/atom
Total magnetization = 0.00 μB/cell
Volume = 36.045 Å³/atom